# CaPuPdAu

A geometry-optimized CaPuPdAu structure (PBE, Alexandria).

extended XYZ file:
```
4
Lattice="5.0818 0.0000 0.0000 2.5409 4.4009 0.0000 2.5409 1.4670 4.1492" Properties=species:S:1:pos:R:3 pbc="T T T"
Pu 2.5409 1.4670 1.0373
Pd 0.0000 0.0000 0.0000
Au 5.0818 2.9340 2.0746
Ca 7.6226 4.4009 3.1119
```

Values from the calculation:
**Excess energy over the best structure of this formula in the dataset**: 0.053 eV per atom
**DFT total energy**: -6.708 eV per atom
**Calculated formation energy**: -0.507 eV per atom
**Symmetry**: No. 216

***

# CaLuCdPb

A geometry-optimized CaLuCdPb structure (PBE, Alexandria).

extended XYZ file:
```
4
Lattice="5.3669 0.0000 0.0000 2.6835 4.6479 0.0000 2.6835 1.5493 4.3821" Properties=species:S:1:pos:R:3 pbc="T T T"
Pb 2.6835 1.5493 1.0955
Lu 5.3669 3.0986 2.1910
Ca 0.0000 0.0000 0.0000
Cd 8.0504 4.6479 3.2866
```

Values from the calculation:
**DFT total energy**: -3.148 eV per atom
**Calculated formation energy**: -0.361 eV per atom
**Symmetry**: No. 216

***

# La2Tl3Pb3

A geometry-optimized La2Tl3Pb3 structure (PBE, Alexandria).

extended XYZ file:
```
8
Lattice="-3.7816 0.2055 -3.1019 0.8400 -4.6081 -1.3294 -6.1195 -3.2064 7.2479" Properties=species:S:1:pos:R:3 pbc="T T T"
Tl -4.9505 -1.5004 2.0730
Tl 0.4200 -2.3041 -0.6647
Tl -2.6398 -3.9072 2.9593
Pb -1.8908 0.1028 -1.5510
Pb -2.9943 -2.9996 -0.4112
Pb -6.0668 -4.6094 3.2278
La -4.6205 -2.4209 5.4725
La -1.4990 -0.7854 1.7754
```

Values from the calculation:
**Excess energy over the best structure of this formula in the dataset**: 0.000 eV per atom
**DFT total energy**: -3.921 eV per atom
**Calculated formation energy**: -0.411 eV per atom
**Symmetry**: No. 47

***

# ZrFe2

A geometry-optimized ZrFe2 structure (PBE, Alexandria).

extended XYZ file:
```
6
Lattice="0.4541 2.0106 -4.0412 -3.8604 -2.1401 1.0477 -1.8609 4.3021 1.9312" Properties=species:S:1:pos:R:3 pbc="T T T"
Fe -2.3797 3.8536 -0.8965
Fe -2.8874 0.3190 -0.1658
Fe -0.9304 2.1510 0.9656
Fe 0.0000 0.0000 0.0000
Zr -1.4493 1.7025 -1.8621
Zr -3.8179 2.4700 0.7998
```

Values from the calculation:
**DFT total energy**: -8.418 eV per atom
**Calculated formation energy**: 0.073 eV per atom
**Symmetry**: No. 194